Computed, not measured: an optimized crystal structure of CrSnO2 at the GGA+U level of DFT.

a = 3.441 Å, b = 3.975 Å, c = 9.312 Å
α = 89.72°, β = 87.17°, γ = 87.96°
Space group P1 (No. 1)
Unique sites:
Cr1 0.000 0.000 0.000 [1 per cell]
Cr2 0.456 0.484 0.163 [1 per cell]
Sn1 0.175 0.087 0.416 [1 per cell]
Sn2 0.431 0.505 0.763 [1 per cell]
O1 0.126 0.498 0.979 [1 per cell]
O2 0.324 0.987 0.183 [1 per cell]
O3 0.659 0.998 0.828 [1 per cell]
O4 0.681 0.412 0.360 [1 per cell]

Values from the calculation:
Magnetization, μB per formula unit: 0.000
Excess energy over the best structure of this formula in the dataset, eV per atom: 0.198
D(E_F), states/eV per atom: 0.000